! TbGa4OsRu2 | the Alexandria database | PBE-GGA | optimized geometry; values from VASP
! **DFT total energy**: -6.1165 eV/atom
! **ΔH_f (0 K)**: -0.30 eV per atom
&SYSTEM
  ibrav = 0, nat = 8, ntyp = 4
/
ATOMIC_SPECIES
Tb 158.93 Tb.upf
Ga 69.72 Ga.upf
Os 190.23 Os.upf
Ru 101.07 Ru.upf
CELL_PARAMETERS angstrom
-1.2874 2.9236 2.8037
-3.5845 2.1762 -0.6934
-6.0572 -4.2680 4.8910
ATOMIC_POSITIONS crystal
Tb 0.0000 0.0000 0.0000
Ga 0.3998 0.3998 0.8004
Ga 0.8684 0.8684 0.3949
Ga 0.1316 0.1316 0.6051
Ga 0.6002 0.6002 0.1996
Os 0.5000 0.5000 0.5000
Ru 0.7611 0.7611 0.7167
Ru 0.2389 0.2389 0.2833

=====

! SmThTeIr | the Alexandria database | PBE-GGA | optimized geometry; values from VASP
! **DFT total energy**: -7.1425 eV/atom
&SYSTEM
  ibrav = 0, nat = 4, ntyp = 4
/
ATOMIC_SPECIES
Sm 150.36 Sm.upf
Th 232.04 Th.upf
Te 127.60 Te.upf
Ir 192.22 Ir.upf
CELL_PARAMETERS angstrom
-2.0462 -1.1196 -3.4985
-1.0785 -1.6874 3.6973
-3.2718 6.9477 2.2163
ATOMIC_POSITIONS crystal
Sm 0.4988 0.1473 0.6614
Th 0.1019 0.9489 0.0661
Te 0.9700 0.3831 0.3680
Ir 0.3072 0.5515 0.8741

=====

! CsTeS | the Alexandria database | PBE-GGA | optimized geometry; values from VASP
! **DFT total energy**: -3.1281 eV/atom
! **Excess energy over the best structure of this formula in the dataset**: 240.8 meV/atom
&SYSTEM
  ibrav = 0, nat = 3, ntyp = 3
/
ATOMIC_SPECIES
Cs 132.91 Cs.upf
S 32.06 S.upf
Te 127.60 Te.upf
CELL_PARAMETERS angstrom
4.0718 0.0000 0.0000
0.0000 4.0718 0.0000
-2.0359 -2.0359 6.4422
ATOMIC_POSITIONS crystal
Cs 0.9929 0.9929 0.9858
S 0.7373 0.7373 0.4746
Te 0.2698 0.2698 0.5396

=====

! LaPm3As4 | the Alexandria database | PBE-GGA | optimized geometry; values from VASP
! **DFT total energy**: -6.2582 eV/atom
! **ΔH_f (0 K)**: -1.54 eV per atom
&SYSTEM
  ibrav = 0, nat = 8, ntyp = 3
/
ATOMIC_SPECIES
La 138.91 La.upf
Pm 145.00 Pm.upf
As 74.92 As.upf
CELL_PARAMETERS angstrom
-1.9126 -1.1040 3.6619
-2.9459 -5.9185 -3.3230
6.5688 -1.8097 2.8854
ATOMIC_POSITIONS crystal
La 0.5000 0.0000 0.0000
Pm 0.0000 0.0000 0.5000
Pm 0.5000 0.5000 0.5000
Pm 0.0000 0.5000 0.0000
As 0.0000 0.2541 0.2541
As 0.5000 0.7480 0.2520
As 0.0000 0.7459 0.7459
As 0.5000 0.2520 0.7480

=====

! Cs4NaCd4 | the Alexandria database | PBE-GGA | optimized geometry; values from VASP
! **DFT total energy**: -0.8550 eV/atom
! **ΔH_f (0 K)**: 0.08 eV per atom
&SYSTEM
  ibrav = 0, nat = 9, ntyp = 3
/
ATOMIC_SPECIES
Cs 132.91 Cs.upf
Na 22.99 Na.upf
Cd 112.41 Cd.upf
CELL_PARAMETERS angstrom
-0.7067 -9.5579 -2.5818
5.5376 -5.4776 6.1521
-6.9207 6.9032 1.7229
ATOMIC_POSITIONS crystal
Cs 0.4225 0.8636 0.0000
Cs 0.8636 0.4225 0.0000
Cs 0.1364 0.1364 0.5589
Cs 0.5775 0.5775 0.4411
Na 0.0000 0.0000 0.0000
Cd 0.1252 0.6587 0.0000
Cd 0.6587 0.1252 0.0000
Cd 0.3413 0.3413 0.4665
Cd 0.8748 0.8748 0.5335

=====

! TaAlGe2 | the Alexandria database | PBE-GGA | optimized geometry; values from VASP
! **DFT total energy**: -5.6146 eV/atom
! **ΔH_f (0 K)**: 0.59 eV per atom
&SYSTEM
  ibrav = 0, nat = 8, ntyp = 3
/
ATOMIC_SPECIES
Ge 72.64 Ge.upf
Al 26.98 Al.upf
Ta 180.95 Ta.upf
CELL_PARAMETERS angstrom
5.9107 0.0000 0.0000
0.0000 5.9107 0.0000
2.9554 2.9554 5.7836
ATOMIC_POSITIONS crystal
Ge 0.6247 0.1250 0.2500
Ge 0.1253 0.6250 0.2500
Ge 0.3750 0.3753 0.7500
Ge 0.8750 0.8747 0.7500
Al 0.5000 0.5000 0.0000
Al 0.2500 0.7500 0.5000
Ta 0.0000 0.0000 0.0000
Ta 0.7500 0.2500 0.5000

=====

! CdAgW2 | the Alexandria database | PBE-GGA | optimized geometry; values from VASP
! **DFT total energy**: -6.6562 eV/atom
! **ΔH_f (0 K)**: 0.76 eV per atom
&SYSTEM
  ibrav = 0, nat = 4, ntyp = 3
/
ATOMIC_SPECIES
Ag 107.87 Ag.upf
W 183.84 W.upf
Cd 112.41 Cd.upf
CELL_PARAMETERS angstrom
-2.3886 -1.2952 4.1014
0.9022 -4.7928 0.6474
3.1366 3.7113 -0.7697
ATOMIC_POSITIONS crystal
Ag 0.5000 0.5000 0.0000
W 0.0000 0.0000 0.0000
W 0.2500 0.7500 0.5000
Cd 0.7500 0.2500 0.5000

=====

! YReHg3 | the Alexandria database | PBE-GGA | optimized geometry; values from VASP
! **DFT total energy**: -3.2914 eV/atom
! **Excess energy over the best structure of this formula in the dataset**: 0.0 meV/atom
! **ΔH_f (0 K)**: 0.67 eV per atom
&SYSTEM
  ibrav = 0, nat = 5, ntyp = 3
/
ATOMIC_SPECIES
Y 88.91 Y.upf
Re 186.21 Re.upf
Hg 200.59 Hg.upf
CELL_PARAMETERS angstrom
-2.6212 1.0799 -4.3255
0.0036 -5.0172 -1.2547
-4.4583 -0.6389 2.5421
ATOMIC_POSITIONS crystal
Y 0.5000 0.5000 0.5000
Re 0.0000 0.0000 0.0000
Hg 0.0000 0.5000 0.0000
Hg 0.0000 0.0000 0.5000
Hg 0.5000 0.0000 0.0000